(1)
# Pr2Zn15Co2 (PBE, relaxed)
data_Pr2Zn15Co2
_chemical_formula_sum 'Pr2 Zn15 Co2'
_cell_length_a 6.797
_cell_length_b 6.797
_cell_length_c 6.797
_cell_angle_alpha 82.70
_cell_angle_beta 82.70
_cell_angle_gamma 82.70
_space_group_name_H-M_alt 'P 1'
_space_group_IT_number 1
loop_
_space_group_symop_operation_xyz
'x,y,z'
loop_
_atom_site_label
_atom_site_type_symbol
_atom_site_fract_x
_atom_site_fract_y
_atom_site_fract_z
Zn1 Zn 0.000 0.718 0.282
Zn2 Zn 0.718 0.000 0.282
Zn3 Zn 0.347 0.347 0.850
Zn4 Zn 0.000 0.282 0.718
Zn5 Zn 0.347 0.850 0.347
Zn6 Zn 0.500 0.000 0.000
Zn7 Zn 0.653 0.150 0.653
Zn8 Zn 0.000 0.500 0.000
Zn9 Zn 0.653 0.653 0.150
Zn10 Zn 0.282 0.718 0.000
Zn11 Zn 0.000 0.000 0.500
Zn12 Zn 0.850 0.347 0.347
Zn13 Zn 0.282 0.000 0.718
Zn14 Zn 0.718 0.282 0.000
Zn15 Zn 0.150 0.653 0.653
Pr1 Pr 0.336 0.336 0.336
Pr2 Pr 0.664 0.664 0.664
Co1 Co 0.909 0.909 0.909
Co2 Co 0.091 0.091 0.091
# ΔH_f (0 K) in eV/f.u.: -3.67
# Total magnetic moment in μB/cell: 2.40
# DFT total energy in eV per atom: -2.45
# Crystal system: trigonal
# Mass density in g cm⁻³: 7.5

=====

(2)
# Rb8ZrTe6 (PBE, relaxed)
data_Rb8ZrTe6
_chemical_formula_sum 'Rb16 Zr2 Te12'
_cell_length_a 9.754
_cell_length_b 11.096
_cell_length_c 13.880
_cell_angle_alpha 90.00
_cell_angle_beta 90.00
_cell_angle_gamma 90.00
_space_group_name_H-M_alt 'P 1'
_space_group_IT_number 1
loop_
_space_group_symop_operation_xyz
'x,y,z'
loop_
_atom_site_label
_atom_site_type_symbol
_atom_site_fract_x
_atom_site_fract_y
_atom_site_fract_z
Te1 Te 0.732 0.500 0.248
Te2 Te 0.604 0.000 0.322
Te3 Te 0.816 0.205 0.570
Te4 Te 0.288 0.500 0.456
Te5 Te 0.816 0.795 0.570
Te6 Te 0.268 0.000 0.748
Te7 Te 0.049 0.000 0.336
Te8 Te 0.184 0.295 0.070
Te9 Te 0.396 0.500 0.822
Te10 Te 0.184 0.705 0.070
Te11 Te 0.951 0.500 0.836
Te12 Te 0.712 0.000 0.956
Rb1 Rb 0.831 0.183 0.152
Rb2 Rb 0.169 0.317 0.652
Rb3 Rb 0.562 0.198 0.775
Rb4 Rb 0.438 0.698 0.275
Rb5 Rb 0.169 0.683 0.652
Rb6 Rb 0.014 0.326 0.354
Rb7 Rb 0.562 0.802 0.775
Rb8 Rb 0.986 0.826 0.854
Rb9 Rb 0.340 0.000 0.500
Rb10 Rb 0.831 0.817 0.152
Rb11 Rb 0.660 0.500 0.000
Rb12 Rb 0.986 0.174 0.854
Rb13 Rb 0.649 0.500 0.515
Rb14 Rb 0.351 0.000 0.015
Rb15 Rb 0.014 0.674 0.354
Rb16 Rb 0.438 0.302 0.275
Zr1 Zr 0.819 0.000 0.456
Zr2 Zr 0.181 0.500 0.956
# Total magnetic moment in μB/cell: 0.28
# DFT total energy in eV per atom: -3.32
# E_form (uncorrected) in kcal/mol of atoms: -22.6
# Crystal system: orthorhombic
# Mass density in g cm⁻³: 3.4

=====

(3)
# Tl2CdPtBr (PBE, relaxed)
data_Tl2CdPtBr
_chemical_formula_sum 'Tl2 Cd1 Pt1 Br1'
_cell_length_a 5.369
_cell_length_b 5.369
_cell_length_c 5.318
_cell_angle_alpha 90.00
_cell_angle_beta 90.00
_cell_angle_gamma 90.00
_space_group_name_H-M_alt 'P 1'
_space_group_IT_number 1
loop_
_space_group_symop_operation_xyz
'x,y,z'
loop_
_atom_site_label
_atom_site_type_symbol
_atom_site_fract_x
_atom_site_fract_y
_atom_site_fract_z
Pt1 Pt 0.000 0.000 0.000
Tl1 Tl 0.500 0.000 0.000
Tl2 Tl 0.000 0.500 0.000
Br1 Br 0.500 0.500 0.500
Cd1 Cd 0.000 0.000 0.500
# Total magnetic moment in μB/cell: 0.00
# DFT total energy in eV per atom: -3.04
# E_form (uncorrected) in kcal/mol of atoms: -8.4
# Crystal system: tetragonal
# Mass density in g cm⁻³: 8.6

=====

(4)
# Fe2AgPb (PBE, relaxed)
data_Fe2AgPb
_chemical_formula_sum 'Fe2 Ag1 Pb1'
_cell_length_a 3.058
_cell_length_b 3.058
_cell_length_c 7.420
_cell_angle_alpha 90.00
_cell_angle_beta 90.00
_cell_angle_gamma 90.00
_space_group_name_H-M_alt 'P 1'
_space_group_IT_number 1
loop_
_space_group_symop_operation_xyz
'x,y,z'
loop_
_atom_site_label
_atom_site_type_symbol
_atom_site_fract_x
_atom_site_fract_y
_atom_site_fract_z
Fe1 Fe 0.000 0.000 0.978
Fe2 Fe 0.000 0.000 0.522
Pb1 Pb 0.500 0.500 0.250
Ag1 Ag 0.500 0.500 0.750
# ΔH_f (0 K) in eV/f.u.: 2.52
# Total magnetic moment in μB/cell: 5.56
# DFT total energy in eV per atom: -5.24
# Crystal system: tetragonal
# Mass density in g cm⁻³: 10.2